Entry 1:
Compound: Sm5Mg4Ag
Source: the Alexandria database
Functional: GGA-PBE
Structure: relaxed

- SG: P4/mmm
- Raw total energy: -34.17 eV per cell
- E_form: -0.134 eV/atom

Unit cell a=3.822 b=3.822 c=19.039 alpha=90.00 beta=90.00 gamma=90.00
Fractional coordinates of all 10 atoms:
Mg: 0.000 0.000 0.197
Sm: 0.500 0.500 0.704
Sm: 0.500 0.500 0.500
Sm: 0.500 0.500 0.905
Mg: 0.000 0.000 0.602
Sm: 0.500 0.500 0.296
Mg: 0.000 0.000 0.398
Sm: 0.500 0.500 0.095
Mg: 0.000 0.000 0.803
Ag: 0.000 0.000 0.000

Entry 2:
Compound: Sm2MgAg4
Source: the Alexandria database
Functional: GGA-PBE
Structure: relaxed

- SG: R-3m
- Raw total energy: -23.19 eV per cell
- E_form: -0.108 eV/atom
- Energy above the most stable polymorph in this dataset: 0.000 eV/atom

Unit cell a=4.680 b=4.680 c=9.667 alpha=75.99 beta=75.99 gamma=60.00
Fractional coordinates of all 7 atoms:
Mg: 0.000 0.000 0.000
Sm: 0.249 0.249 0.252
Ag: 0.359 0.359 0.922
Ag: 0.861 0.861 0.418
Ag: 0.139 0.139 0.582
Ag: 0.641 0.641 0.078
Sm: 0.751 0.751 0.748

Entry 3:
Compound: Sm2Mg3Ag
Source: the Alexandria database
Functional: GGA-PBE
Structure: relaxed

- SG: Pmm2
- Raw total energy: -17.87 eV per cell
- E_form: -0.133 eV/atom

Unit cell a=3.350 b=5.127 c=8.899 alpha=90.00 beta=90.00 gamma=90.00
Fractional coordinates of all 6 atoms:
Ag: 0.500 0.500 0.335
Mg: 0.500 0.500 0.662
Sm: 0.000 0.500 0.013
Sm: 0.000 0.000 0.489
Mg: 0.500 0.000 0.169
Mg: 0.500 0.000 0.832

Entry 4:
Compound: Sm5MgAg3
Source: the Alexandria database
Functional: GGA-PBE
Structure: relaxed

- SG: P6_3/mcm
- Raw total energy: -69.27 eV per cell
- E_form: -0.099 eV/atom

Unit cell a=6.773 b=9.163 c=9.164 alpha=120.00 beta=90.00 gamma=90.00
Fractional coordinates of all 18 atoms:
Ag: 0.250 0.650 0.650
Ag: 0.250 0.000 0.350
Ag: 0.750 0.650 0.000
Sm: 0.500 0.333 0.667
Sm: 0.000 0.333 0.667
Ag: 0.750 0.000 0.650
Sm: 0.750 0.000 0.315
Sm: 0.250 0.685 0.000
Ag: 0.250 0.350 0.000
Mg: 0.500 0.000 0.000
Sm: 0.250 0.315 0.315
Sm: 0.750 0.315 0.000
Sm: 0.500 0.667 0.333
Sm: 0.750 0.685 0.685
Sm: 0.000 0.667 0.333
Mg: 0.000 0.000 0.000
Sm: 0.250 0.000 0.685
Ag: 0.750 0.350 0.350

Entry 5:
Compound: Sm3MgAg2
Source: the Alexandria database
Functional: GGA-PBE
Structure: relaxed

- SG: P4/mmm
- Raw total energy: -22.76 eV per cell
- E_form: -0.217 eV/atom

Unit cell a=3.754 b=3.754 c=11.243 alpha=90.00 beta=90.00 gamma=90.00
Fractional coordinates of all 6 atoms:
Sm: 0.000 0.000 0.673
Ag: 0.500 0.500 0.167
Mg: 0.500 0.500 0.500
Sm: 0.000 0.000 0.327
Ag: 0.500 0.500 0.833
Sm: 0.000 0.000 0.000

Entry 6:
Compound: SmMgAg
Source: the Alexandria database
Functional: GGA-PBE
Structure: relaxed

- SG: I4mm
- Raw total energy: -9.66 eV per cell
- E_form: -0.166 eV/atom

Unit cell a=3.544 b=3.544 c=6.325 alpha=106.27 beta=106.27 gamma=90.00
Last column: magnetic moment on the atom in μB.
Fractional coordinates of all 3 atoms:
Sm: 0.941 0.941 0.882  0.15
Ag: 0.266 0.266 0.531  0.01
Mg: 0.643 0.643 0.287  0.00

Entry 7:
Compound: Sm2MgAg4
Source: the Alexandria database
Functional: GGA-PBE
Structure: relaxed

- SG: I4/mmm
- Raw total energy: -21.46 eV per cell
- E_form: 0.140 eV/atom
- Energy above the most stable polymorph in this dataset: 0.248 eV/atom

Unit cell a=4.917 b=4.917 c=8.437 alpha=106.94 beta=106.94 gamma=90.00
Fractional coordinates of all 7 atoms:
Sm: 0.369 0.369 0.738
Sm: 0.631 0.631 0.262
Ag: 0.826 0.826 0.653
Ag: 0.500 0.000 0.000
Ag: 0.174 0.174 0.347
Mg: 0.000 0.000 0.000
Ag: 0.000 0.500 0.000

Entry 8:
Compound: SmMg3Ag
Source: the Alexandria database
Functional: GGA-PBE
Structure: relaxed

- SG: P2_1/m
- Raw total energy: -26.11 eV per cell
- E_form: -0.140 eV/atom

Unit cell a=4.377 b=7.300 c=7.957 alpha=74.20 beta=90.00 gamma=90.00
Fractional coordinates of all 10 atoms:
Mg: 0.881 0.683 0.884
Ag: 0.881 0.854 0.152
Ag: 0.381 0.821 0.654
Mg: 0.381 0.992 0.922
Mg: 0.881 0.255 0.056
Mg: 0.881 0.665 0.505
Sm: 0.881 0.154 0.564
Mg: 0.381 0.010 0.301
Sm: 0.381 0.520 0.242
Mg: 0.381 0.420 0.751

Entry 9:
Compound: Sm2MgAg6
Source: the Alexandria database
Functional: GGA-PBE
Structure: relaxed

- SG: C2/m
- Raw total energy: -29.50 eV per cell
- E_form: -0.152 eV/atom
- Energy above the most stable polymorph in this dataset: 0.037 eV/atom

Unit cell a=3.374 b=8.274 c=8.274 alpha=60.01 beta=89.94 gamma=89.94
Fractional coordinates of all 9 atoms:
Ag: 0.499 0.000 0.670
Sm: 0.000 0.667 0.667
Mg: 0.000 0.000 0.000
Ag: 0.499 0.670 0.000
Ag: 0.501 0.000 0.330
Ag: 0.500 0.330 0.670
Ag: 0.500 0.670 0.330
Ag: 0.501 0.330 0.000
Sm: 0.000 0.333 0.333

Entry 10:
Compound: Sm3Mg5Ag2
Source: the Alexandria database
Functional: GGA-PBE
Structure: relaxed

- SG: P4/mbm
- Raw total energy: -59.46 eV per cell
- E_form: -0.190 eV/atom

Unit cell a=4.506 b=10.545 c=10.545 alpha=90.00 beta=90.00 gamma=90.00
Fractional coordinates of all 20 atoms:
Mg: 0.500 0.065 0.783
Mg: 0.500 0.500 0.000
Sm: 0.000 0.679 0.179
Sm: 0.000 0.500 0.500
Mg: 0.500 0.283 0.565
Mg: 0.500 0.935 0.217
Ag: 0.000 0.616 0.884
Ag: 0.000 0.884 0.384
Mg: 0.500 0.435 0.283
Mg: 0.500 0.717 0.435
Mg: 0.500 0.783 0.935
Ag: 0.000 0.116 0.616
Sm: 0.000 0.179 0.321
Sm: 0.000 0.821 0.679
Ag: 0.000 0.384 0.116
Mg: 0.500 0.217 0.065
Sm: 0.000 0.000 0.000
Sm: 0.000 0.321 0.821
Mg: 0.500 0.000 0.500
Mg: 0.500 0.565 0.717

Entry 11:
Compound: SmMgAg
Source: the Alexandria database
Functional: GGA-PBE
Structure: relaxed

- SG: F-43m
- Raw total energy: -9.37 eV per cell
- E_form: -0.070 eV/atom

Unit cell a=4.901 b=4.901 c=4.901 alpha=60.00 beta=60.00 gamma=60.00
Fractional coordinates of all 3 atoms:
Sm: 0.000 0.000 0.000
Ag: 0.250 0.250 0.250
Mg: 0.500 0.500 0.500

Please write out number 2 again, unchanged.
Compound: Sm2MgAg4
Source: the Alexandria database
Functional: GGA-PBE
Structure: relaxed

- SG: R-3m
- Raw total energy: -23.19 eV per cell
- E_form: -0.108 eV/atom
- Energy above the most stable polymorph in this dataset: 0.000 eV/atom

Unit cell a=4.680 b=4.680 c=9.667 alpha=75.99 beta=75.99 gamma=60.00
Fractional coordinates of all 7 atoms:
Mg: 0.000 0.000 0.000
Sm: 0.249 0.249 0.252
Ag: 0.359 0.359 0.922
Ag: 0.861 0.861 0.418
Ag: 0.139 0.139 0.582
Ag: 0.641 0.641 0.078
Sm: 0.751 0.751 0.748

- Which value of E_form does entry 2 give?
  -0.108 eV/atom

- Which of these has the highest E_form?
  number 7

- What is the raw total energy in the fourth record?
  -69.27 eV per cell